## w
VASP calculation (GGA-PBE) on a relaxed Cs2Se crystal.

a = 10.6308 Å, b = 5.9747 Å, c = 11.5442 Å
α = 66.07°, β = 30.91°, γ = 83.02°
Element x y z (fractional)
Cs: 0.2404 0.7596 0.3875
Cs: 0.6375 0.8625 0.4904
Cs: 0.7596 0.2404 0.6125
Cs: 0.8625 0.6375 0.0096
Se: 0.2674 0.2674 0.7326
Se: 0.5174 0.5174 0.9826

Properties
SG: Fdd2, No. 43

## x
VASP calculation (GGA-PBE) on a relaxed Cs2Se crystal.

a = 9.0956 Å, b = 5.5904 Å, c = 10.9180 Å
α = 90.00°, β = 90.00°, γ = 90.00°
Element x y z (fractional)
Cs: 0.0228 0.2500 0.1696
Cs: 0.1448 0.2500 0.5748
Cs: 0.3552 0.7500 0.0748
Cs: 0.4772 0.7500 0.6696
Cs: 0.5228 0.2500 0.3304
Cs: 0.6448 0.2500 0.9252
Cs: 0.8552 0.7500 0.4252
Cs: 0.9772 0.7500 0.8304
Se: 0.2461 0.2500 0.8901
Se: 0.2539 0.7500 0.3901
Se: 0.7461 0.2500 0.6099
Se: 0.7539 0.7500 0.1099

Properties
SG: Pnma, No. 62

Name the most stable of them. x.